Record 1
# KNbSe2O8 PBE optimized geometry
data_KNbSe2O8
_symmetry_space_group_name_H-M 'P 1'
_symmetry_Int_Tables_number 1
_symmetry_space_group_name_Hall 'P 1'
_cell_length_a 5.603
_cell_length_b 5.603
_cell_length_c 8.083
_cell_angle_alpha 92.50
_cell_angle_beta 92.50
_cell_angle_gamma 60.07
loop_
_atom_site_label
_atom_site_type_symbol
_atom_site_fract_x
_atom_site_fract_y
_atom_site_fract_z
O1 O 0.288 0.771 0.182
K1 K 0.000 0.000 0.500
O2 O 0.702 0.702 0.401
O3 O 0.771 0.288 0.182
O4 O 0.809 0.809 0.042
Se1 Se 0.353 0.353 0.796
Se2 Se 0.647 0.647 0.204
O5 O 0.298 0.298 0.599
O6 O 0.229 0.712 0.818
O7 O 0.712 0.229 0.818
Nb1 Nb 0.000 0.000 0.000
O8 O 0.191 0.191 0.958
# Formation energy without anion corrections = -1.238 eV per atom
# V = 18.30 A^3/atom


Record 2
# Ce3ZnTc PBE optimized geometry
data_Ce3ZnTc
_symmetry_space_group_name_H-M 'P 1'
_symmetry_Int_Tables_number 1
_symmetry_space_group_name_Hall 'P 1'
_cell_length_a 5.165
_cell_length_b 5.765
_cell_length_c 8.960
_cell_angle_alpha 106.33
_cell_angle_beta 90.00
_cell_angle_gamma 116.61
loop_
_atom_site_label
_atom_site_type_symbol
_atom_site_fract_x
_atom_site_fract_y
_atom_site_fract_z
Zn1 Zn 0.872 0.744 0.962
Ce1 Ce 0.260 0.519 0.769
Ce2 Ce 0.463 0.926 0.162
Ce3 Ce 0.740 0.481 0.231
Tc1 Tc 0.368 0.737 0.428
Tc2 Tc 0.632 0.263 0.572
Ce4 Ce 0.877 0.754 0.611
Ce5 Ce 0.123 0.246 0.389
Zn2 Zn 0.128 0.256 0.038
Ce6 Ce 0.537 0.074 0.838
# ΔH_f (0 K) = -0.084 eV/atom
# V = 22.64 A^3/atom